Sc2BeTc: optimized geometry, PBE-GGA.

```
data_Sc2BeTc
_cell_length_a 3.2873
_cell_length_b 3.2873
_cell_length_c 6.1743
_cell_angle_alpha 90.00
_cell_angle_beta 90.00
_cell_angle_gamma 90.00
_space_group_name_H-M_alt 'P 1'
_space_group_IT_number 1
loop_
_space_group_symop_operation_xyz
'x,y,z'
loop_
_atom_site_label
_atom_site_type_symbol
_atom_site_fract_x
_atom_site_fract_y
_atom_site_fract_z
Sc1 Sc 0.5000 0.5000 0.7543
Sc2 Sc 0.5000 0.5000 0.2457
Be1 Be 0.0000 0.0000 0.5000
Tc1 Tc 0.0000 0.0000 0.0000
```

Calculated values
Raw total energy in Ry per atom: -0.49943
Total magnetic moment in μB/f.u.: 0.0
Space-group type: P4/mmm, No. 123